Entry 1:
Density functional theory data (PBE) for a relaxed structure of CaMnVAu2.

Lattice parameters (Å, degrees): 5.0459 4.0183 5.0459 90.00 90.00 90.00
Fractional coordinates of all 5 atoms:
Mn: 0.0000 0.0000 0.0000
Au: 0.5000 0.0000 0.0000
Au: 0.0000 0.0000 0.5000
V: 0.0000 0.5000 0.0000
Ca: 0.5000 0.5000 0.5000

DFT total energy: -5.18 eV per atom
calculated formation energy: 188 meV/atom
magnetic moment: 0.000 μB/f.u.


Entry 2:
Density functional theory data (PBE) for a relaxed structure of Pu2Pa3S8.

Lattice parameters (Å, degrees): 6.7093 8.0336 8.0377 119.98 107.51 90.00
Site moments in Bohr magnetons follow the coordinates.
Fractional coordinates of all 13 atoms:
S: 0.0759 0.8843 0.7685  -0.05
Pa: 0.0000 0.7416 0.0000  1.07
Pu: 0.3415 0.2627 0.5254  5.42
Pa: 0.5000 0.0000 0.0000  1.17
S: 0.4148 0.3536 0.2442  -0.06
S: 0.0789 0.3854 0.7708  -0.05
S: 0.9211 0.6146 0.2292  -0.05
S: 0.5852 0.6464 0.7558  -0.06
S: 0.4148 0.8906 0.2442  -0.06
Pa: 0.0000 0.2584 0.0000  1.07
S: 0.5852 0.1094 0.7558  -0.06
Pu: 0.6585 0.7373 0.4746  5.42
S: 0.9241 0.1157 0.2315  -0.05

DFT total energy: -8.52 eV per atom
energy relative to the elements, uncorrected: -1.579 eV per atom
magnetic moment: 15.055 μB/f.u.
energy above the lowest structure with this stoichiometry: 0.370 eV per formula unit


Entry 3:
Density functional theory data (PBE) for a relaxed structure of Ba2RhS.

Lattice parameters (Å, degrees): 6.8943 6.8943 8.3132 65.50 65.50 90.00
Fractional coordinates of all 8 atoms:
Ba: 0.1058 0.6250 0.2500
S: 0.2500 0.7500 0.5000
Ba: 0.8750 0.8942 0.7500
Ba: 0.3750 0.3558 0.7500
Rh: 0.0000 0.0000 0.0000
Ba: 0.6442 0.1250 0.2500
S: 0.5000 0.5000 0.0000
Rh: 0.7500 0.2500 0.5000

DFT total energy: -4.35 eV per atom
energy relative to the elements, uncorrected: -0.523 eV per atom
magnetic moment: 0.000 μB/f.u.


Entry 4:
Density functional theory data (PBE) for a relaxed structure of TmSi6Rh12.

Lattice parameters (Å, degrees): 6.9504 6.9504 6.9504 105.71 105.71 105.71
Fractional coordinates of all 19 atoms:
Rh: 0.8187 0.5679 0.5679
Rh: 0.1300 0.8700 0.5000
Si: 0.3105 0.7506 0.7506
Si: 0.6895 0.2494 0.2494
Rh: 0.4321 0.1813 0.4321
Rh: 0.5000 0.8700 0.1300
Rh: 0.8700 0.1300 0.5000
Si: 0.7506 0.3105 0.7506
Rh: 0.1813 0.4321 0.4321
Si: 0.2494 0.2494 0.6895
Tm: 0.0000 0.0000 0.0000
Rh: 0.5679 0.5679 0.8187
Rh: 0.8700 0.5000 0.1300
Si: 0.7506 0.7506 0.3105
Si: 0.2494 0.6895 0.2494
Rh: 0.5679 0.8187 0.5679
Rh: 0.5000 0.1300 0.8700
Rh: 0.1300 0.5000 0.8700
Rh: 0.4321 0.4321 0.1813

DFT total energy: -7.29 eV per atom
energy relative to the elements, uncorrected: -0.704 eV per atom
magnetic moment: 0.000 μB/f.u.


Entry 5:
Density functional theory data (PBE) for a relaxed structure of SrInCu3.

Lattice parameters (Å, degrees): 4.9381 4.9381 4.9381 90.00 90.00 90.00
Fractional coordinates of all 5 atoms:
Cu: 0.5000 0.0000 0.0000
In: 0.0000 0.0000 0.0000
Sr: 0.5000 0.5000 0.5000
Cu: 0.0000 0.5000 0.0000
Cu: 0.0000 0.0000 0.5000

DFT total energy: -3.11 eV per atom
calculated formation energy: 233 meV/atom
magnetic moment: 0.000 μB/f.u.
energy above the lowest structure with this stoichiometry: 0.000 eV per formula unit


Entry 6:
Density functional theory data (PBE) for a relaxed structure of NaPuSiN3.

Lattice parameters (Å, degrees): 3.3590 6.9253 8.2182 96.13 90.00 90.00
Site moments in Bohr magnetons follow the coordinates.
Fractional coordinates of all 12 atoms:
Pu: 0.7500 0.3764 0.8403  4.29
N: 0.2500 0.8591 0.4755  -0.01
N: 0.2500 0.1334 0.8105  -0.10
Pu: 0.2500 0.6236 0.1597  4.29
Na: 0.7500 0.8605 0.8648  0.00
N: 0.2500 0.5837 0.8922  -0.22
N: 0.7500 0.8666 0.1895  -0.10
N: 0.7500 0.1409 0.5245  -0.01
Na: 0.2500 0.1395 0.1352  0.00
Si: 0.7500 0.9163 0.3957  0.00
N: 0.7500 0.4163 0.1078  -0.22
Si: 0.2500 0.0837 0.6043  0.00

DFT total energy: -8.40 eV per atom
energy relative to the elements, uncorrected: -0.726 eV per atom
magnetic moment: 4.000 μB/f.u.


Entry 7:
Density functional theory data (PBE) for a relaxed structure of Pu6SbTe5.

Lattice parameters (Å, degrees): 7.6992 7.6992 7.7008 99.59 99.59 119.97
Site moments in Bohr magnetons follow the coordinates.
Fractional coordinates of all 12 atoms:
Te: 0.6664 0.3336 0.0000  -0.10
Te: 0.8321 0.1679 0.5000  -0.10
Te: 0.5000 0.5000 0.5000  -0.10
Pu: 0.7523 0.7523 0.2492  5.51
Sb: 0.0000 0.0000 0.0000  -0.12
Pu: 0.0826 0.4136 0.2481  5.50
Pu: 0.9174 0.5864 0.7519  5.50
Te: 0.1679 0.8321 0.5000  -0.10
Pu: 0.4136 0.0826 0.2481  5.50
Pu: 0.5864 0.9174 0.7519  5.50
Pu: 0.2477 0.2477 0.7508  5.51
Te: 0.3336 0.6664 0.0000  -0.10

DFT total energy: -9.84 eV per atom
energy relative to the elements, uncorrected: -1.020 eV per atom
magnetic moment: 34.631 μB/f.u.


Entry 8:
Density functional theory data (PBE) for a relaxed structure of AlTlBr3.

Lattice parameters (Å, degrees): 5.3705 5.3705 5.3705 90.00 90.00 90.00
Fractional coordinates of all 5 atoms:
Br: 0.0000 0.5000 0.0000
Br: 0.0000 0.0000 0.5000
Al: 0.0000 0.0000 0.0000
Tl: 0.5000 0.5000 0.5000
Br: 0.5000 0.0000 0.0000

DFT total energy: -2.97 eV per atom
energy relative to the elements, uncorrected: -0.744 eV per atom
magnetic moment: 0.000 μB/f.u.
energy above the lowest structure with this stoichiometry: 0.901 eV per formula unit


Entry 9:
Density functional theory data (PBE) for a relaxed structure of HgSbIr2.

Lattice parameters (Å, degrees): 4.7475 4.7475 3.1657 90.00 90.00 90.00
Fractional coordinates of all 4 atoms:
Ir: 0.5000 0.5000 0.0000
Ir: 0.0000 0.0000 0.0000
Sb: 0.5000 0.0000 0.5000
Hg: 0.0000 0.5000 0.5000

DFT total energy: -5.09 eV per atom
energy relative to the elements, uncorrected: 0.443 eV per atom
magnetic moment: 0.000 μB/f.u.
energy above the lowest structure with this stoichiometry: 0.478 eV per formula unit


Entry 10:
Density functional theory data (PBE) for a relaxed structure of Ag2SbAu.

Lattice parameters (Å, degrees): 9.0349 9.0349 9.0349 21.10 21.10 21.10
Fractional coordinates of all 4 atoms:
Ag: 0.9964 0.9964 0.9964
Au: 0.2500 0.2500 0.2500
Ag: 0.5036 0.5036 0.5036
Sb: 0.7500 0.7500 0.7500

DFT total energy: -3.13 eV per atom
energy relative to the elements, uncorrected: 0.145 eV per atom
magnetic moment: 0.000 μB/f.u.


Entry 11:
Density functional theory data (PBE) for a relaxed structure of Sc2BiSe2.

Lattice parameters (Å, degrees): 7.9641 7.9641 3.4985 90.00 90.00 90.00
Fractional coordinates of all 10 atoms:
Se: 0.3624 0.1376 0.5000
Bi: 0.5000 0.5000 0.0000
Se: 0.1376 0.6376 0.5000
Sc: 0.8486 0.6514 0.0000
Sc: 0.3486 0.8486 0.0000
Se: 0.6376 0.8624 0.5000
Bi: 0.0000 0.0000 0.0000
Se: 0.8624 0.3624 0.5000
Sc: 0.1514 0.3486 0.0000
Sc: 0.6514 0.1514 0.0000

DFT total energy: -5.79 eV per atom
energy relative to the elements, uncorrected: -1.090 eV per atom
magnetic moment: 0.000 μB/f.u.
energy above the lowest structure with this stoichiometry: 0.000 eV per formula unit


Entry 12:
Density functional theory data (PBE) for a relaxed structure of CuHgTe2.

Lattice parameters (Å, degrees): 18.9629 4.3960 8.6023 90.00 141.93 90.00
Fractional coordinates of all 16 atoms:
Hg: 0.8487 0.5612 0.9629
Te: 0.8937 0.1597 0.3557
Hg: 0.1513 0.4388 0.0371
Cu: 0.7069 0.9259 0.9394
Te: 0.3937 0.3403 0.8557
Te: 0.6063 0.6597 0.1443
Hg: 0.6513 0.0612 0.5371
Cu: 0.2069 0.5741 0.4394
Te: 0.1063 0.8403 0.6443
Cu: 0.7931 0.4259 0.5606
Te: 0.0942 0.0590 0.3003
Te: 0.4058 0.5590 0.1997
Te: 0.5942 0.4410 0.8003
Hg: 0.3487 0.9388 0.4629
Cu: 0.2931 0.0741 0.0606
Te: 0.9058 0.9410 0.6997

DFT total energy: -2.62 eV per atom
energy relative to the elements, uncorrected: 0.048 eV per atom
magnetic moment: 0.000 μB/f.u.


Entry 13:
Density functional theory data (PBE) for a relaxed structure of Dy3AgBi.

Lattice parameters (Å, degrees): 5.4516 6.4241 8.6518 90.00 89.99 90.00
Fractional coordinates of all 10 atoms:
Dy: 0.0000 0.2500 0.7523
Bi: 0.0000 0.2500 0.1463
Bi: 0.0000 0.7500 0.8537
Ag: 0.5000 0.2500 0.6932
Dy: 0.4999 0.2500 0.3615
Ag: 0.5000 0.7500 0.3068
Dy: 0.0000 0.7500 0.2477
Dy: 0.5000 0.0000 0.0000
Dy: 0.5000 0.5000 0.0000
Dy: 0.5001 0.7500 0.6385

DFT total energy: -4.41 eV per atom
calculated formation energy: -298 meV/atom
magnetic moment: 0.000 μB/f.u.


Entry 14:
Density functional theory data (PBE) for a relaxed structure of LaNd2Y.

Lattice parameters (Å, degrees): 5.2122 5.1736 5.1736 90.00 90.00 90.00
Fractional coordinates of all 4 atoms:
La: 0.5000 0.5000 0.5000
Nd: 0.0000 0.5000 0.0000
Nd: 0.0000 0.0000 0.5000
Y: 0.5000 0.0000 0.0000

DFT total energy: -5.22 eV per atom
calculated formation energy: 14 meV/atom
magnetic moment: 0.000 μB/f.u.
energy above the lowest structure with this stoichiometry: 0.005 eV per formula unit


Entry 15:
Density functional theory data (PBE) for a relaxed structure of ScCrTe4.

Lattice parameters (Å, degrees): 8.1595 8.6621 7.6743 55.64 57.89 90.00
Site moments in Bohr magnetons follow the coordinates.
Fractional coordinates of all 12 atoms:
Te: 0.1999 0.2181 0.5638  -0.09
Sc: 0.0000 0.5000 0.5000  0.00
Te: 0.7363 0.2181 0.5638  -0.09
Sc: 0.0000 0.0000 0.5000  0.00
Te: 0.2923 0.7483 0.9155  -0.12
Te: 0.2923 0.3362 0.9155  -0.12
Cr: 0.0000 0.5000 0.0000  2.75
Te: 0.2637 0.7819 0.4362  -0.09
Te: 0.8001 0.7819 0.4362  -0.09
Te: 0.7077 0.6638 0.0845  -0.12
Te: 0.7077 0.2517 0.0845  -0.12
Cr: 0.5000 0.5000 0.0000  2.75

DFT total energy: -5.27 eV per atom
energy relative to the elements, uncorrected: -0.512 eV per atom
magnetic moment: 2.350 μB/f.u.
energy above the lowest structure with this stoichiometry: 0.000 eV per formula unit


Entry 16:
Density functional theory data (PBE) for a relaxed structure of KH4O2.

Lattice parameters (Å, degrees): 2.7935 7.5142 7.5142 90.00 90.00 90.00
Site moments in Bohr magnetons follow the coordinates.
Fractional coordinates of all 14 atoms:
O: 0.5000 0.7401 0.7401  0.07
H: 0.0000 0.2997 0.2079  0.02
H: 0.0000 0.7921 0.7003  0.02
H: 0.5000 0.7079 0.2003  0.02
H: 0.0000 0.2079 0.2997  0.02
K: 0.5000 0.0000 0.0000  0.00
K: 0.0000 0.5000 0.5000  0.00
O: 0.0000 0.7599 0.2401  0.07
O: 0.5000 0.2599 0.2599  0.07
O: 0.0000 0.2401 0.7599  0.07
H: 0.5000 0.7997 0.2921  0.02
H: 0.5000 0.2003 0.7079  0.02
H: 0.0000 0.7003 0.7921  0.02
H: 0.5000 0.2921 0.7997  0.02

DFT total energy: -3.51 eV per atom
magnetic moment: 0.302 μB/f.u.


Entry 17:
Density functional theory data (PBE) for a relaxed structure of ZrCdHg2.

Lattice parameters (Å, degrees): 3.2693 3.2693 8.3177 90.00 90.00 90.00
Fractional coordinates of all 4 atoms:
Cd: 0.5000 0.5000 0.7495
Hg: 0.0000 0.0000 0.9964
Zr: 0.0000 0.0000 0.4980
Hg: 0.5000 0.5000 0.2561

DFT total energy: -2.54 eV per atom
calculated formation energy: -26 meV/atom
magnetic moment: 0.000 μB/f.u.


Entry 18:
Density functional theory data (PBE) for a relaxed structure of Ca4Ge.

Lattice parameters (Å, degrees): 5.8105 5.8105 5.8105 90.00 90.00 90.00
Site moments in Bohr magnetons follow the coordinates.
Fractional coordinates of all 5 atoms:
Ca: 0.5000 0.5000 0.0000  0.05
Ge: 0.5000 0.5000 0.5000  0.04
Ca: 0.0000 0.5000 0.5000  0.05
Ca: 0.0000 0.0000 0.0000  0.09
Ca: 0.5000 0.0000 0.5000  0.05

DFT total energy: -2.73 eV per atom
calculated formation energy: -204 meV/atom
magnetic moment: 1.482 μB/f.u.